## KNa2GaO3 (GGA-PBEsol)

Data for KNa2GaO3 after structural relaxation.

The space group is Pnma (No. 62) and the conventional cell measures 6.469, 6.157 and 10.203 Å, with angles of 90.00, 90.00 and 90.00 degrees. The inequivalent atoms are K at (0.160, 0.250, 0.032), Na at (0.010, 0.009, 0.731), Ga at (0.170, 0.250, 0.490), O at (0.000, 0.000, 0.500), O at (0.171, 0.750, 0.139) and O at (0.218, 0.750, 0.826).

The calculation puts the total energy at -4.940 eV/atom. The volume comes out at 406 Å³/cell. The calculation puts the raw formation energy at -1.6509 eV per atom.

=====

## InCo2Pt (GGA-PBEsol)

Data for InCo2Pt after structural relaxation.

The space group is Cmmm (No. 65) and the conventional cell measures 5.533, 7.065 and 2.772 Å, with angles of 90.00, 90.00 and 90.00 degrees. The inequivalent atoms are In at (0.000, 0.000, 0.000), Co at (0.250, 0.250, 0.500) and Pt at (0.000, 0.500, 0.000).

The energy relative to the elements is 0.0803 eV/atom. The calculation puts the total energy at -6.275 eV/atom. The volume comes out at 108 Å³/cell.

=====

## CaZrSi (GGA-PBEsol)

Data for CaZrSi after structural relaxation.

The space group is P3m1 (No. 156) and the conventional cell measures 4.4679, 4.4679 and 4.0713 Å, with angles of 90.00, 90.00 and 120.00 degrees. The inequivalent atoms are Ca at (0.0000, 0.0000, 0.0000), Zr at (0.3333, 0.6667, 0.5269) and Si at (0.6667, 0.3333, 0.3762).

The calculation puts the total energy at -5.723 eV/atom. The volume comes out at 70 Å³/cell. The calculation puts the raw formation energy at -0.0666 eV per atom.

=====

## Cs3RbI (GGA-PBEsol)

Data for Cs3RbI after structural relaxation.

The space group is Pm-3m (No. 221) and the conventional cell measures 7.543, 7.543 and 7.543 Å, with angles of 90.00, 90.00 and 90.00 degrees. The inequivalent atoms are Cs at (0.000, 0.000, 0.500), Rb at (0.500, 0.500, 0.500) and I at (0.000, 0.000, 0.000).

The calculation puts the total energy at -1.698 eV/atom. The volume comes out at 429 Å³/cell. The calculation puts the raw formation energy at -0.5746 eV per atom.